The following is a DFT calculation (GGA-PBE) of a relaxed Sm8GaSi3I4 crystal.

```
Sm8GaSi3I4
1.0
4.306 2.486 7.555
-4.306 2.486 7.555
0.000 -4.972 7.555
Sm Ga Si I
8 1 3 4
direct
0.232 0.232 0.232 Sm
0.232 0.734 0.734 Sm
0.266 0.266 0.768 Sm
0.266 0.768 0.266 Sm
0.734 0.232 0.734 Sm
0.734 0.734 0.232 Sm
0.768 0.266 0.266 Sm
0.768 0.768 0.768 Sm
0.500 0.500 0.500 Ga
0.000 0.000 0.500 Si
0.000 0.500 0.000 Si
0.500 0.000 0.000 Si
0.000 0.000 0.000 I
0.000 0.500 0.500 I
0.500 0.000 0.500 I
0.500 0.500 0.000 I
```

Summary:
E_form (uncorrected)	-884	meV per atom